Arrangement i

# NaRh2Br GGA-PBE optimized geometry
# calculated volume	24.25	A^3/atom
# size of the total moment	0.0	μB/f.u.
data_NaRh2Br
_chemical_formula_sum 'Na4 Rh8 Br4'
_cell_length_a 4.848
_cell_length_b 4.848
_cell_length_c 16.507
_cell_angle_alpha 90.00
_cell_angle_beta 90.00
_cell_angle_gamma 90.00
_space_group_name_H-M_alt 'I -4 2 d'
_space_group_IT_number 122
_space_group_name_Hall 'I -4 2bw'
loop_
_atom_site_label
_atom_site_type_symbol
_atom_site_fract_x
_atom_site_fract_y
_atom_site_fract_z
_atom_site_occupancy
Na1 Na 0.000 0.000 0.000 1
Rh1 Rh 0.081 0.250 0.625 1
Br1 Br 0.000 0.000 0.500 1

Arrangement ii

# NaRh2Br GGA-PBE optimized geometry
# calculated volume	16.96	A^3/atom
# size of the total moment	2.1	μB/f.u.
data_NaRh2Br
_chemical_formula_sum 'Na4 Rh8 Br4'
_cell_length_a 6.474
_cell_length_b 6.474
_cell_length_c 6.474
_cell_angle_alpha 90.00
_cell_angle_beta 90.00
_cell_angle_gamma 90.00
_space_group_name_H-M_alt 'F m -3 m'
_space_group_IT_number 225
_space_group_name_Hall '-F 4 2 3'
loop_
_atom_site_label
_atom_site_type_symbol
_atom_site_fract_x
_atom_site_fract_y
_atom_site_fract_z
_atom_site_occupancy
Na1 Na 0.000 0.000 0.000 1
Rh1 Rh 0.250 0.250 0.250 1
Br1 Br 0.000 0.000 0.500 1

Q: Which of them is the least stable? A: arrangement ii.

Arrangement i

# NaRhSeBr2 GGA-PBE optimized geometry
# calculated volume	27.09	A^3/atom
# size of the total moment	0.0	μB/f.u.
data_NaRhSeBr2
_chemical_formula_sum 'Na1 Rh1 Se1 Br2'
_cell_length_a 5.378
_cell_length_b 5.378
_cell_length_c 4.684
_cell_angle_alpha 90.00
_cell_angle_beta 90.00
_cell_angle_gamma 90.00
_space_group_name_H-M_alt 'P 4/m m m'
_space_group_IT_number 123
_space_group_name_Hall '-P 4 2'
loop_
_atom_site_label
_atom_site_type_symbol
_atom_site_fract_x
_atom_site_fract_y
_atom_site_fract_z
_atom_site_occupancy
Na1 Na 0.000 0.000 0.000 1
Rh1 Rh 0.500 0.500 0.500 1
Se1 Se 0.500 0.500 0.000 1
Br1 Br 0.000 0.500 0.500 1

Arrangement ii

# NaRhSeBr2 GGA-PBE optimized geometry
# calculated volume	29.69	A^3/atom
# size of the total moment	4.0	μB/f.u.
data_NaRhSeBr2
_chemical_formula_sum 'Na1 Rh1 Se1 Br2'
_cell_length_a 5.265
_cell_length_b 5.265
_cell_length_c 5.355
_cell_angle_alpha 90.00
_cell_angle_beta 90.00
_cell_angle_gamma 90.00
_space_group_name_H-M_alt 'P 4/m m m'
_space_group_IT_number 123
_space_group_name_Hall '-P 4 2'
loop_
_atom_site_label
_atom_site_type_symbol
_atom_site_fract_x
_atom_site_fract_y
_atom_site_fract_z
_atom_site_occupancy
Na1 Na 0.000 0.000 0.000 1
Rh1 Rh 0.500 0.500 0.500 1
Se1 Se 0.000 0.000 0.500 1
Br1 Br 0.000 0.500 0.000 1

Q: Which of them is the least stable? A: arrangement ii.

Arrangement i

# NaRuBr6 GGA-PBE optimized geometry
# calculated volume	30.66	A^3/atom
# size of the total moment	2.9	μB/f.u.
data_NaRuBr6
_chemical_formula_sum 'Na1 Ru1 Br6'
_cell_length_a 6.797
_cell_length_b 6.801
_cell_length_c 7.273
_cell_angle_alpha 62.18
_cell_angle_beta 62.19
_cell_angle_gamma 60.02
_space_group_name_H-M_alt 'P -1'
_space_group_IT_number 2
loop_
_space_group_symop_operation_xyz
'x,y,z'
'-x,-y,-z'
loop_
_atom_site_label
_atom_site_type_symbol
_atom_site_fract_x
_atom_site_fract_y
_atom_site_fract_z
_atom_site_occupancy
Na1 Na 0.000 0.000 0.000 1
Ru1 Ru 0.500 0.500 0.500 1
Br1 Br 0.104 0.702 0.732 1
Br2 Br 0.297 0.538 0.268 1
Br3 Br 0.462 0.104 0.732 1

Arrangement ii

# NaRuBr6 GGA-PBE optimized geometry
# calculated volume	33.16	A^3/atom
# size of the total moment	3.1	μB/f.u.
data_NaRuBr6
_chemical_formula_sum 'Na2 Ru2 Br12'
_cell_length_a 7.327
_cell_length_b 11.433
_cell_length_c 6.768
_cell_angle_alpha 90.00
_cell_angle_beta 110.65
_cell_angle_gamma 90.00
_space_group_name_H-M_alt 'C 1 2/m 1'
_space_group_IT_number 12
loop_
_space_group_symop_operation_xyz
'x,y,z'
'-x,-y,-z'
'-x,y,-z'
'x,-y,z'
'x+1/2,y+1/2,z'
'-x+1/2,-y+1/2,-z'
'-x+1/2,y+1/2,-z'
'x+1/2,-y+1/2,z'
loop_
_atom_site_label
_atom_site_type_symbol
_atom_site_fract_x
_atom_site_fract_y
_atom_site_fract_z
_atom_site_occupancy
Na1 Na 0.000 0.000 0.000 1
Ru1 Ru 0.000 0.500 0.500 1
Br1 Br 0.189 0.343 0.747 1
Br2 Br 0.243 0.500 0.324 1

Q: Which of them is the least stable? A: arrangement ii.

Arrangement i

# NaRuBr4 GGA-PBE optimized geometry
# calculated volume	34.18	A^3/atom
# size of the total moment	1.0	μB/f.u.
data_NaRuBr4
_chemical_formula_sum 'Na4 Ru4 Br16'
_cell_length_a 8.783
_cell_length_b 14.920
_cell_length_c 6.618
_cell_angle_alpha 90.00
_cell_angle_beta 108.91
_cell_angle_gamma 90.00
_space_group_name_H-M_alt 'C 1 2/c 1'
_space_group_IT_number 15
loop_
_space_group_symop_operation_xyz
'x,y,z'
'-x,-y,-z'
'-x,y,-z+1/2'
'x,-y,z+1/2'
'x+1/2,y+1/2,z'
'-x+1/2,-y+1/2,-z'
'-x+1/2,y+1/2,-z+1/2'
'x+1/2,-y+1/2,z+1/2'
loop_
_atom_site_label
_atom_site_type_symbol
_atom_site_fract_x
_atom_site_fract_y
_atom_site_fract_z
_atom_site_occupancy
Na1 Na 0.000 0.234 0.250 1
Ru1 Ru 0.000 0.061 0.750 1
Br1 Br 0.167 0.055 0.142 1
Br2 Br 0.177 0.183 0.684 1

Arrangement ii

# NaRuBr4 GGA-PBE optimized geometry
# calculated volume	29.73	A^3/atom
# size of the total moment	1.0	μB/f.u.
data_NaRuBr4
_chemical_formula_sum 'Na4 Ru4 Br16'
_cell_length_a 17.301
_cell_length_b 3.846
_cell_length_c 13.007
_cell_angle_alpha 90.00
_cell_angle_beta 124.47
_cell_angle_gamma 90.00
_space_group_name_H-M_alt 'C 1 2/c 1'
_space_group_IT_number 15
loop_
_space_group_symop_operation_xyz
'x,y,z'
'-x,-y,-z'
'-x,y,-z+1/2'
'x,-y,z+1/2'
'x+1/2,y+1/2,z'
'-x+1/2,-y+1/2,-z'
'-x+1/2,y+1/2,-z+1/2'
'x+1/2,-y+1/2,z+1/2'
loop_
_atom_site_label
_atom_site_type_symbol
_atom_site_fract_x
_atom_site_fract_y
_atom_site_fract_z
_atom_site_occupancy
Na1 Na 0.000 0.249 0.250 1
Ru1 Ru 0.250 0.250 0.000 1
Br1 Br 0.088 0.250 0.955 1
Br2 Br 0.207 0.250 0.348 1

Q: Which of them is the least stable? A: arrangement i.